(1)
A relaxed AlFeBiBr2 crystal, computed with GGA-PBEsol.

a b c (Å): 4.726 4.726 5.638
angles (deg): 90.00 90.00 90.00
Positions (direct):
Al1 0.000 0.000 0.000
Fe1 0.500 0.500 0.500
Bi1 0.500 0.500 0.000
Br1 0.000 0.500 0.500
Br2 0.500 0.000 0.500

* SG: No. 123
* size of the total moment: 2.84 μB/f.u.
* formation energy (no corrections): 0.237 eV per atom
* volume: 25.191 Å³/atom

***

(2)
A relaxed CoTcRu crystal, computed with GGA-PBEsol.

a b c (Å): 4.627 4.627 4.627
angles (deg): 141.60 141.60 55.43
Positions (direct):
Co1 0.000 0.000 0.000
Tc1 0.347 0.347 0.000
Ru1 0.667 0.667 0.000

* SG: No. 107
* size of the total moment: 1.29 μB/f.u.
* formation energy from the elements: 73.6 kJ/mol of formula units
* volume: 12.647 Å³/atom
* relative energy among the computed polymorphs: 0.183 eV/atom